# 1
Na4Tm3PtO8, relaxed, DFT PBE-GGA; energy relative to the elements, uncorrected = -2330 meV/atom; spin magnetization = 1.00 μB per cell; raw total energy = -6.3545 eV/atom
1.0
6.532 0.000 0.000
0.000 6.695 0.096
-3.266 -3.271 4.819
O Na Tm Pt
8 4 3 1
Cartesian
3.266 0.203 2.298
1.544 1.884 0.174
0.000 3.221 2.617
1.722 1.540 4.741
0.000 0.198 2.628
-1.722 1.540 4.741
4.988 1.884 0.174
3.266 3.226 2.287
-1.633 -1.635 2.409
0.000 0.000 0.000
3.266 0.000 0.000
1.633 -1.635 2.409
3.266 3.347 0.048
1.633 1.712 2.457
-1.633 1.712 2.457
0.000 3.347 0.048

# 2
Si3PtCl, relaxed, DFT PBE-GGA; energy relative to the elements, uncorrected = 432 meV/atom; ΔE to the lowest computed polymorph = 0.000 eV per atom; spin magnetization = 0.00 μB per cell; raw total energy = -4.3988 eV/atom
1.0
-0.973 4.322 -1.814
-2.863 -2.015 -3.265
-3.711 0.421 2.994
Cl Si Pt
1 3 1
Cartesian
-3.773 1.364 -1.042
-0.486 2.161 -0.907
-1.432 -1.007 -1.633
-1.856 0.211 1.497
0.000 0.000 0.000

# 3
Y2HfAs3, relaxed, DFT PBE-GGA; energy of formation = -30.64 kcal/mol of atoms; spin magnetization = 0.00 μB per cell; raw total energy = -7.4670 eV/atom
1.0
-2.011 2.011 8.490
2.011 -2.011 8.490
2.011 2.011 -8.490
As Hf Y
3 1 2
Cartesian
0.000 0.000 14.250
0.000 0.000 8.490
0.000 0.000 2.731
0.000 0.000 0.000
0.000 0.000 11.332
0.000 0.000 5.649

# 4
La4TlRh2, relaxed, DFT PBE-GGA; energy of formation = -13.12 kcal/mol of atoms; spin magnetization = 0.00 μB per cell; raw total energy = -5.8229 eV/atom
1.0
8.779 -2.115 -0.186
-2.743 8.608 0.156
-2.938 -3.346 5.756
Rh Tl La
4 2 8
Cartesian
3.420 4.447 2.514
4.756 0.139 0.655
1.229 0.386 3.597
-3.101 1.415 5.468
-1.292 4.133 2.379
2.948 3.187 5.152
5.052 3.362 0.460
1.480 2.702 1.664
4.051 -2.734 4.415
-1.631 0.611 2.469
-0.530 2.592 5.352
0.001 -2.192 4.170
4.422 0.910 3.312
2.292 -1.285 1.267